[1]
La2SiPt6, relaxed, DFT PBE; energy = -6.749 eV/atom; density of states at the Fermi level = 0.47 states/eV per atom; total magnetization = 0.00 Bohr magnetons per cell; E above lowest polymorph = 0.003 eV/atom
1.0
-0.6308 -3.0533 -4.8347
5.1131 2.2112 1.3591
2.8795 -4.8152 2.6653
Pt Si La
6 1 2
Cartesian
4.2212 -1.7279 -1.1483
3.1406 -3.9294 0.3380
2.8294 -5.4359 -2.0476
4.5325 -0.2214 1.2372
5.3531 -4.3747 -1.3583
2.0088 -1.2826 0.5479
0.0000 0.0000 0.0000
5.8806 -3.5591 1.4805
1.4812 -2.0982 -2.2908

***

[2]
GaCo3H, relaxed, DFT PBE; energy = -5.384 eV/atom; density of states at the Fermi level = 1.14 states/eV per atom; total magnetization = 7.73 Bohr magnetons per cell; E above lowest polymorph = 0.259 eV/atom
1.0
4.8010 0.0000 0.0000
0.0000 4.8010 0.0000
2.4005 2.4005 4.5388
Co Ga H
6 2 2
Cartesian
2.4005 2.4005 1.1472
1.1702 4.8010 1.2284
3.6308 4.8010 1.2284
2.4005 6.0313 3.3104
4.8010 4.8010 3.3916
2.4005 3.5707 3.3104
4.8010 2.4005 3.6171
4.8010 2.4005 0.9218
2.4005 4.8010 2.2694
0.0000 0.0000 0.0000

***

[3]
CsRb2CdH4, relaxed, DFT PBE; energy = -2.144 eV/atom; density of states at the Fermi level = 0.38 states/eV per atom; total magnetization = 0.27 Bohr magnetons per cell
1.0
6.4767 -0.0827 -0.1268
-2.8345 5.8240 0.1268
-2.8345 -2.2277 5.3826
H Cs Cd Rb
4 1 1 2
Cartesian
1.8635 1.3744 1.8923
-1.7780 2.5973 4.1921
3.9149 -0.1221 3.2361
-2.3851 3.1776 1.4447
0.4038 -0.2562 4.0053
-2.8345 1.7981 2.7547
0.4038 3.7697 1.3773
0.0000 0.0000 0.0000

***

[4]
Tb6PrSm, relaxed, DFT PBE; energy = -4.641 eV/atom; DFT formation energy = 0.019 eV per atom; density of states at the Fermi level = 1.51 states/eV per atom; total magnetization = 0.00 Bohr magnetons per cell; E above lowest polymorph = 0.000 eV/atom
1.0
-0.4465 3.7752 -3.3609
-0.2197 -3.3853 -3.7734
-10.0922 -0.3727 0.9221
Tb Pr Sm
6 1 1
Cartesian
-7.6640 -1.9716 -1.1965
-2.7613 1.7939 -1.4486
-5.3792 0.0086 -3.1061
-7.7774 1.6086 -0.9903
-2.6480 -1.7864 -1.6548
-0.3331 0.1949 -3.5671
0.0000 0.0000 0.0000
-5.0461 -0.1863 0.4610

***

[5]
CuRe4Cl, relaxed, DFT PBE; energy = -8.047 eV/atom; density of states at the Fermi level = 0.85 states/eV per atom; total magnetization = 0.00 Bohr magnetons per cell
1.0
4.2236 0.4575 3.0484
0.5190 -3.0409 4.2219
3.6006 -3.7911 0.0648
Re Cu Cl
4 1 1
Cartesian
3.3916 -3.9078 4.8565
5.2360 -2.1661 4.2722
4.9258 -4.2813 2.7868
3.1332 -2.3938 2.7546
0.0000 0.0000 0.0000
6.2574 -4.7809 5.5013

***

[6]
Li2TbCl6, relaxed, DFT PBE; energy = -3.834 eV/atom; density of states at the Fermi level = 0.25 states/eV per atom; total magnetization = 1.05 Bohr magnetons per cell
1.0
4.1493 0.0000 0.0000
2.0746 6.4874 0.4394
2.0746 3.2880 9.3862
Cl Li Tb
6 2 1
Cartesian
4.1493 6.3299 5.9614
4.1493 3.4455 3.8643
6.2239 7.7084 9.3392
2.0746 2.0670 0.4865
6.2239 6.3954 2.8157
2.0746 3.3800 7.0100
4.1493 2.1973 1.6309
4.1493 7.5781 8.1947
2.0746 4.8877 4.9128